Material: AlFeCo
Method: DFT, GGA-PBE
State: optimized geometry

Summary:
ΔE to the lowest computed polymorph (meV/atom): 331
M_tot (μB/atom): 0.840

Cell and atoms, written as POSCAR:
```
AlFeCo
1.0
0.0000 2.7335 2.7335
2.7335 0.0000 2.7335
2.7335 2.7335 0.0000
Co Fe Al
1 1 1
Cartesian
0.0000 0.0000 0.0000 Co
4.1003 4.1003 4.1003 Fe
1.3668 1.3668 1.3668 Al
```

=====

Material: Tb2GdO4
Method: DFT, GGA-PBE
State: optimized geometry

Summary:
M_tot (μB/atom): 0.037
VASP energy (Ry per atom): -0.59014

Cell and atoms, written as POSCAR:
```
Tb2GdO4
1.0
4.8120 -4.8134 0.0000
-4.8120 0.0000 -4.8134
4.8120 4.8134 0.0000
Gd Tb O
2 4 8
Cartesian
0.0000 0.0000 0.0000 Gd
2.4060 -2.4067 -2.4067 Gd
3.6090 1.2033 -1.2033 Tb
6.0150 -1.2033 -1.2033 Tb
-1.2030 -1.2033 -3.6100 Tb
1.2030 1.2033 -3.6100 Tb
3.5280 1.2850 -3.5284 O
3.5280 3.5284 -1.2850 O
1.2840 1.2850 -1.2850 O
-1.1220 1.1217 -3.6917 O
1.1220 -1.1217 -3.6917 O
3.6900 -1.1217 -1.1217 O
1.2840 3.5284 -3.5284 O
5.9340 1.1217 -1.1217 O
```

=====

Material: NaGe5Pt3
Method: DFT, GGA-PBE
State: optimized geometry

Summary:
M_tot (μB/atom): 0.002
VASP energy (Ry per atom): -0.35107

Cell and atoms, written as POSCAR:
```
NaGe5Pt3
1.0
-3.3154 4.0708 -1.1080
1.6822 -3.2372 -3.9347
-5.7787 -4.3947 1.1451
Ge Pt Na
5 3 1
Cartesian
-6.3111 -1.9103 -1.1265 Ge
-2.8894 -2.1973 0.5725 Ge
-2.7667 0.7852 -1.8288 Ge
-4.6452 -4.3463 -2.0687 Ge
-1.1009 -1.6508 -2.7711 Ge
-3.7060 -1.7805 -1.9488 Pt
-2.0483 -3.8159 -1.3948 Pt
-4.5470 -0.1619 0.0185 Pt
0.0000 0.0000 0.0000 Na
```

=====

Material: InFeReNi
Method: DFT, GGA-PBE
State: optimized geometry

Summary:
ΔE to the lowest computed polymorph (meV/atom): 0
M_tot (μB/atom): 0.240

Cell and atoms, written as POSCAR:
```
InFeReNi
1.0
-4.0189 -1.5221 0.1265
-3.2249 2.3044 -1.6656
-1.9225 -1.2966 -3.6203
In Fe Re Ni
1 1 1 1
Cartesian
0.0000 0.0000 0.0000 In
-6.8747 -0.3857 -3.8696 Fe
-4.5831 -0.2572 -2.5797 Re
-2.2916 -0.1286 -1.2899 Ni
```

=====

Material: PaAgOs
Method: DFT, GGA-PBE
State: optimized geometry

Summary:
Formation enthalpy at 0 K (eV per atom): 0.298
ΔE to the lowest computed polymorph (meV/atom): 0
M_tot (μB/atom): 0.001

Cell and atoms, written as POSCAR:
```
PaAgOs
1.0
0.0000 3.2407 3.2407
3.2407 0.0000 3.2407
3.2407 3.2407 0.0000
Ag Os Pa
1 1 1
Cartesian
1.6204 1.6204 1.6204 Ag
0.0000 0.0000 0.0000 Os
4.8610 4.8610 4.8610 Pa
```

=====

Material: ZrCoAgAs
Method: DFT, GGA-PBE
State: optimized geometry

Summary:
ΔE to the lowest computed polymorph (meV/atom): 0
M_tot (μB/atom): 0.252

Cell and atoms, written as POSCAR:
```
ZrCoAgAs
1.0
-1.7993 -2.7894 3.0941
-1.7772 1.6903 3.8179
-4.4914 -0.0816 0.6421
Zr As Ag Co
1 1 1 1
Cartesian
-2.0170 -0.2952 1.8885 Zr
0.0000 0.0000 0.0000 As
-4.0340 -0.5903 3.7770 Ag
-6.0509 -0.8855 5.6656 Co
```

=====

Material: Sc2In2Hg
Method: DFT, GGA-PBE
State: optimized geometry

Summary:
ΔE to the lowest computed polymorph (meV/atom): 27
M_tot (μB/atom): 0.215

Cell and atoms, written as POSCAR:
```
Sc2In2Hg
1.0
-2.2518 2.2518 6.4971
2.2518 -2.2518 6.4971
2.2518 2.2518 -6.4971
In Sc Hg
2 2 1
Cartesian
0.0000 0.0000 5.1699 In
0.0000 0.0000 7.8242 In
2.2518 0.0000 3.2485 Sc
0.0000 2.2518 3.2485 Sc
0.0000 0.0000 0.0000 Hg
```

=====

Material: PrTlB4
Method: DFT, GGA-PBE
State: optimized geometry

Summary:
ΔE to the lowest computed polymorph (meV/atom): 0
M_tot (μB/atom): 0.000

Cell and atoms, written as POSCAR:
```
PrTlB4
1.0
4.8331 2.3827 0.8001
-0.7800 5.3286 0.8211
-0.9437 -5.0028 1.9385
B Pr Tl
4 1 1
Cartesian
-0.5677 2.4791 1.2901 B
2.3134 1.1481 1.3094 B
0.7961 1.5604 2.2503 B
3.6772 0.2293 2.2697 B
0.0000 0.0000 0.0000 Pr
2.0266 3.8556 0.8106 Tl
```

=====

Number 2 is which compound?
Tb2GdO4

=====

Among the records above, which one has the highest M_tot?
AlFeCo

=====

The lowest M_tot belongs to which entry?
PrTlB4

=====

Which value of M_tot does entry 3 give?
0.002 μB/atom